## NaSr3Ni (PBE)

Data for crystalline NaSr3Ni at its relaxed geometry.

Computed properties:
E above lowest polymorph ... 12 meV/atom
Energy of formation from the pure elements ... -9.1 meV per atom
Magnetization ... 0.00 μB per formula unit
VASP energy ... -2.438 eV/atom
Mass density ... 2.80 Mg/m³

a b c (Å): 6.7156 4.1975 14.7198
angles (deg): 81.87 85.19 89.98
Closest atoms and distances in Å follow each position.
Fractional coordinates of all 10 atoms:
Sr 0.0800 0.1321 0.5645  3 Ni 3.05-3.14
Sr 0.5322 0.9616 0.9070  4 Na 3.96-4.08, 8 Sr 4.13-4.39
Sr 0.9315 0.2619 0.3019  3 Ni 2.98-3.13
Sr 0.0470 0.5013 0.8252  2 Na 4.03-4.04, 10 Sr 4.13-4.33
Sr 0.4337 0.7245 0.3781  3 Ni 3.05-3.13
Sr 0.5840 0.5943 0.6417  3 Ni 3.05-3.17
Ni 0.8389 0.6846 0.4586  2 Ni 2.36-2.37
Ni 0.6796 0.1738 0.4807  2 Ni 2.36-2.37
Na 0.4688 0.3453 0.1387  6 Sr 3.96-4.15, 6 Na 4.03-4.20
Na 0.9972 0.8815 0.0623  6 Sr 4.01-4.08, 6 Na 4.03-4.20